This record from Alexandria via LeMat-Bulk describes a relaxed structure of Fe2RuRhF. The functional is PBE+U.

Unit cell a=4.9674 b=4.5100 c=4.9674 alpha=90.00 beta=90.00 gamma=90.00
Each line ends with the local moment (μB).
Sites, in units of the cell vectors:
Ru 0.0000 0.0000 0.0000  0.10
F 0.5000 0.5000 0.5000  0.05
Fe 0.0000 0.0000 0.5000  3.72
Fe 0.5000 0.0000 0.0000  3.80
Rh 0.0000 0.5000 0.0000  -0.10

## Properties
DOS(E_F)	2.3	states/eV per cell
calculated total energy	-24.93	eV per formula unit
calculated volume	22.26	Å³/atom